Record 1
Here is a geometry-optimized CoSnCl2 structure from Alexandria. Energies are from PBE.

Lattice parameters (Å, degrees): 4.8956 4.8956 4.8956 60.00 60.00 60.00
Last column: magnetic moment on the atom in μB.
Element x y z (fractional)
Co (0.0000, 0.0000, 0.0000)  1.84
Sn (0.5000, 0.5000, 0.5000)  -0.08
Cl (0.2500, 0.2500, 0.2500)  0.03
Cl (0.7500, 0.7500, 0.7500)  0.03

## Properties
Total DFT energy (no corrections) (eV per atom): -3.431
Total magnetic moment (μB per formula unit): 1.7
Symmetry: Fm-3m, No. 225
E_form (uncorrected) (meV per atom): 269

Record 2
Here is a geometry-optimized RbGaW3 structure from Alexandria. Energies are from PBE.

Lattice parameters (Å, degrees): 4.8400 4.8400 4.8400 90.00 90.00 90.00
Element x y z (fractional)
Ga (0.0000, 0.0000, 0.0000)
Rb (0.5000, 0.5000, 0.5000)
W (0.0000, 0.5000, 0.0000)
W (0.0000, 0.0000, 0.5000)
W (0.5000, 0.0000, 0.0000)

## Properties
Total DFT energy (no corrections) (eV per atom): -6.108
Formation energy from the elements (eV per atom): 2.46
Total magnetic moment (μB per formula unit): 0.0
Symmetry: Pm-3m, No. 221